VASP calculation (PBE-GGA) on crystalline NbSiHg2 at its relaxed geometry.

Structure (POSCAR):
```
NbSiHg2
1.0
0.000 3.375 3.375
3.375 0.000 3.375
3.375 3.375 0.000
Hg Nb Si
2 1 1
Direct
0.000 0.000 0.000 Hg
0.750 0.750 0.750 Hg
0.250 0.250 0.250 Nb
0.500 0.500 0.500 Si
```

Output
Total DFT energy (no corrections), eV/atom: -3.45